Below is a relaxed Te4C crystal, with properties calculated at the PBE level.

Lattice parameters (Å, degrees): 6.8070 6.8070 6.8070 93.40 93.40 151.82
Fractional coordinates of all 5 atoms:
Te  0.7091  0.3933  0.1024
Te  0.6067  0.7091  0.3157
Te  0.2909  0.6067  0.8976
C  0.0000  0.0000  0.0000
Te  0.3933  0.2909  0.6843

Summary:
DFT total energy	-16.1	eV per cell
space-group type	I4/m (87)
magnetic moment	0.0	μB/f.u.
energy relative to the elements, uncorrected	1.141	eV/atom
V	28.9	A^3/atom
excess energy over the best structure of this formula in the dataset	0.149	eV per atom